DFT (GGA-PBE) results for a relaxed CdSn3Pd crystal.

```
CdSn3Pd
1.0
5.2396 0.0000 0.0000
0.0000 5.2396 0.0000
0.0000 0.0000 5.2396
Pd Sn Cd
1 3 1
direct
0.0000 0.0000 0.0000
0.0000 0.5000 0.0000
0.0000 0.0000 0.5000
0.5000 0.0000 0.0000
0.5000 0.5000 0.5000
```

Fermi-level density of states: 0.4427 states/eV per atom
energy above the lowest structure with this stoichiometry: 248 meV/atom
total energy: -3.544 eV/atom
E_form: 0.0797 eV/atom
total magnetic moment: 0.000 μB per cell